The following is a DFT calculation (PBE) of an optimized crystal structure of DyIrNO.

It has space group Pmc2_1 (No. 26), with a = 4.1681 Å, b = 6.3836 Å, c = 4.7400 Å, α = 90.00°, β = 90.00° and γ = 90.00°. The asymmetric unit holds Dy at (0.0000, 0.2016, 0.0000), Ir at (0.5000, 0.4129, 0.4873), N at (0.5000, 0.3028, 0.8641) and O at (0.0000, 0.1369, 0.4613).

The distance to the lowest polymorph of the same formula comes out at 477.5 meV per atom.



The following is a DFT calculation (PBE) of an optimized crystal structure of HoEr2Sc3Te2Au.

It has space group Amm2 (No. 38), with a = 3.9437 Å, b = 13.8843 Å, c = 8.0190 Å, α = 90.00°, β = 90.00° and γ = 90.00°. The asymmetric unit holds Ho at (0.0000, 0.0000, 0.0000), Er at (0.0000, 0.1984, 0.4036), Sc at (0.5000, 0.0000, 0.3542), Sc at (0.5000, 0.1237, 0.7259), Te at (0.5000, 0.1670, 0.1021) and Au at (0.0000, 0.0000, 0.6007).

The calculation puts the final energy at -98.698 eV for the cell shown.



The following is a DFT calculation (PBE) of an optimized crystal structure of Nd2TmIn.

It has space group P4/mmm (No. 123), with a = 4.8945 Å, b = 4.8945 Å, c = 4.9624 Å, α = 90.00°, β = 90.00° and γ = 90.00°. The asymmetric unit holds Nd at (0.0000, 0.5000, 0.0000), Tm at (0.0000, 0.0000, 0.5000) and In at (0.5000, 0.5000, 0.5000).

The calculation puts the final energy at -17.810 eV for the cell shown.



The following is a DFT calculation (PBE) of an optimized crystal structure of HfGeO3.

It has space group R-3c (No. 167, hexagonal axes), with a = 5.6216 Å, b = 5.6216 Å, c = 13.7019 Å, α = 90.00°, β = 90.00° and γ = 120.00°. The asymmetric unit holds Hf at (0.0000, 0.0000, 0.0000), Ge at (0.0000, 0.0000, 0.2500) and O at (0.0000, 0.3933, 0.2500).

The calculation puts the final energy at -247.047 eV for the cell shown.



The following is a DFT calculation (PBE) of an optimized crystal structure of LiMg2Cd.

It has space group F-43m (No. 216), with a = 6.8068 Å, b = 6.8068 Å, c = 6.8068 Å, α = 90.00°, β = 90.00° and γ = 90.00°. The asymmetric unit holds Li at (0.0000, 0.0000, 0.0000), Mg at (0.0000, 0.0000, 0.5000), Mg at (0.2500, 0.2500, 0.7500) and Cd at (0.2500, 0.2500, 0.2500).

The calculation puts the final energy at -25.577 eV for the cell shown.



The following is a DFT calculation (PBE) of an optimized crystal structure of Ho3Mg3ZnPd2.

It has space group P-62m (No. 189), with a = 7.4873 Å, b = 7.4873 Å, c = 4.0436 Å, α = 90.00°, β = 90.00° and γ = 120.00°. The asymmetric unit holds Ho at (0.0000, 0.5835, 0.0000), Mg at (0.0000, 0.2485, 0.5000), Zn at (0.0000, 0.0000, 0.0000) and Pd at (0.3333, 0.6667, 0.5000).

The calculation puts the final energy at -34.910 eV for the cell shown.



The following is a DFT calculation (PBE) of an optimized crystal structure of Y2Mo.

It has space group Fd-3m (No. 227, origin choice 2), with a = 8.3851 Å, b = 8.3851 Å, c = 8.3851 Å, α = 90.00°, β = 90.00° and γ = 90.00°. The asymmetric unit holds Y at (0.0000, 0.0000, 0.0000) and Mo at (0.1250, 0.1250, 0.6250).

The calculated formation energy is 3.63 eV/f.u. The distance to the lowest polymorph of the same formula comes out at 0.0 meV per atom.



The following is a DFT calculation (PBE) of an optimized crystal structure of LaEr2Se3.

It has space group P-3m1 (No. 164), with a = 4.0818 Å, b = 4.0818 Å, c = 10.2973 Å, α = 90.00°, β = 90.00° and γ = 120.00°. The asymmetric unit holds La at (0.0000, 0.0000, 0.0000), Er at (0.3333, 0.6667, 0.6615), Se at (0.0000, 0.0000, 0.5000) and Se at (0.3333, 0.6667, 0.1871).

The calculation puts the final energy at -35.323 eV for the cell shown.



The following is a DFT calculation (PBE) of an optimized crystal structure of TbPmSn.

It has space group F-43m (No. 216), with a = 7.3641 Å, b = 7.3641 Å, c = 7.3641 Å, α = 90.00°, β = 90.00° and γ = 90.00°. The asymmetric unit holds Tb at (0.0000, 0.0000, 0.0000), Pm at (0.0000, 0.0000, 0.5000) and Sn at (0.2500, 0.2500, 0.7500).

The calculation puts the final energy at -58.561 eV for the cell shown.



The following is a DFT calculation (PBE) of an optimized crystal structure of Nb4NiB3.

It has space group P6_3/mmc (No. 194), with a = 3.2546 Å, b = 3.2546 Å, c = 23.1260 Å, α = 90.00°, β = 90.00° and γ = 120.00°. The asymmetric unit holds Nb at (0.0000, 0.0000, 0.1705), Nb at (0.3333, 0.6667, 0.0567), Ni at (0.3333, 0.6667, 0.2500), B at (0.0000, 0.0000, 0.0000) and B at (0.3333, 0.6667, 0.6166).

The calculation puts the final energy at -138.324 eV for the cell shown.



The following is a DFT calculation (PBE) of an optimized crystal structure of BaNaDy.

It has space group F-43m (No. 216), with a = 8.0755 Å, b = 8.0755 Å, c = 8.0755 Å, α = 90.00°, β = 90.00° and γ = 90.00°. The asymmetric unit holds Ba at (0.0000, 0.0000, 0.0000), Na at (0.0000, 0.0000, 0.5000) and Dy at (0.2500, 0.2500, 0.2500).

The calculation puts the final energy at -21.986 eV for the cell shown.



The following is a DFT calculation (PBE) of an optimized crystal structure of SrPrSn2.

It has space group Amm2 (No. 38), with a = 3.5190 Å, b = 6.4951 Å, c = 13.0317 Å, α = 90.00°, β = 90.00° and γ = 90.00°. The asymmetric unit holds Sr at (0.0000, 0.0000, 0.0000), Pr at (0.0000, 0.0000, 0.7050), Sn at (0.0000, 0.0000, 0.2514) and Sn at (0.0000, 0.0000, 0.4683).

The calculation puts the final energy at -28.836 eV for the cell shown.



Repeat the eighth record exactly.
The following is a DFT calculation (PBE) of an optimized crystal structure of LaEr2Se3.

It has space group P-3m1 (No. 164), with a = 4.0818 Å, b = 4.0818 Å, c = 10.2973 Å, α = 90.00°, β = 90.00° and γ = 120.00°. The asymmetric unit holds La at (0.0000, 0.0000, 0.0000), Er at (0.3333, 0.6667, 0.6615), Se at (0.0000, 0.0000, 0.5000) and Se at (0.3333, 0.6667, 0.1871).

The calculation puts the final energy at -35.323 eV for the cell shown.



Q: Which formula does entry 3 have?
A: Nd2TmIn